1.
GdTi2Ga (PBE, optimized geometry); ΔH_f (0 K) = 235.7 meV/atom; space group = R-3m, No. 166; calculated total energy = -0.294 Ha/atom
1.0
1.502 0.867 10.342
-1.502 0.867 10.342
0.000 -1.734 10.342
Gd Ti Ga
1 2 1
Direct
0.000 0.000 0.000 Gd
0.096 0.096 0.096 Ti
0.904 0.904 0.904 Ti
0.500 0.500 0.500 Ga

2.
La2Tb3Sm7 (PBE, optimized geometry); ΔH_f (0 K) = 71.1 meV/atom; space group = P2/m, No. 10; ΔE to the lowest computed polymorph = 0.0000 eV/atom; calculated total energy = -0.171 Ha/atom
1.0
6.461 0.000 0.000
0.000 3.578 0.000
-1.889 0.000 17.685
La Tb Sm
2 3 7
Direct
0.060 0.000 0.170 La
0.940 0.000 0.830 La
0.453 0.500 0.841 Tb
0.500 0.000 0.500 Tb
0.547 0.500 0.159 Tb
0.000 0.500 0.500 Sm
0.228 0.000 0.667 Sm
0.258 0.000 0.998 Sm
0.277 0.500 0.337 Sm
0.723 0.500 0.663 Sm
0.742 0.000 0.002 Sm
0.772 0.000 0.333 Sm

3.
Tl2PRuAu (PBE, optimized geometry); ΔH_f (0 K) = 220.8 meV/atom; space group = P4/mmm, No. 123; calculated total energy = -0.159 Ha/atom
1.0
5.394 0.000 0.000
0.000 5.394 0.000
0.000 0.000 4.370
Tl P Ru Au
2 1 1 1
Direct
0.000 0.500 0.000 Tl
0.500 0.000 0.000 Tl
0.000 0.000 0.500 P
0.000 0.000 0.000 Ru
0.500 0.500 0.500 Au

4.
NaLiEuGe (PBE, optimized geometry); ΔH_f (0 K) = -274.6 meV/atom; space group = F-43m, No. 216; calculated total energy = -0.177 Ha/atom
1.0
0.000 3.611 3.611
3.611 0.000 3.611
3.611 3.611 0.000
Na Li Eu Ge
1 1 1 1
Direct
0.000 0.000 0.000 Na
0.750 0.750 0.750 Li
0.250 0.250 0.250 Eu
0.500 0.500 0.500 Ge

5.
HfBe2W (PBE, optimized geometry); ΔH_f (0 K) = 133.2 meV/atom; space group = Fm-3m, No. 225; ΔE to the lowest computed polymorph = 0.0000 eV/atom; calculated total energy = -0.274 Ha/atom
1.0
0.000 3.004 3.004
3.004 0.000 3.004
3.004 3.004 0.000
Hf Be W
1 2 1
Direct
0.000 0.000 0.000 Hf
0.250 0.250 0.250 Be
0.750 0.750 0.750 Be
0.500 0.500 0.500 W

6.
Pr2MnAlPt6 (PBE, optimized geometry); ΔH_f (0 K) = -720.7 meV/atom; space group = R-3m, No. 166; calculated total energy = -0.242 Ha/atom
1.0
2.839 1.639 7.712
-2.839 1.639 7.712
0.000 -3.278 7.712
Pr Mn Al Pt
2 1 1 6
Direct
0.206 0.206 0.206 Pr
0.794 0.794 0.794 Pr
0.500 0.500 0.500 Mn
0.000 0.000 0.000 Al
0.249 0.249 0.746 Pt
0.249 0.746 0.249 Pt
0.254 0.751 0.751 Pt
0.746 0.249 0.249 Pt
0.751 0.254 0.751 Pt
0.751 0.751 0.254 Pt

7.
K2UTiS6 (PBE, optimized geometry); energy relative to the elements, uncorrected = -1.23 eV/atom; space group = P1, No. 1; calculated total energy = -0.215 Ha/atom
1.0
7.030 0.000 0.000
-0.036 7.031 0.000
-3.510 -3.501 5.010
K U Ti S
2 1 1 6
Direct
0.000 0.000 0.000 K
0.499 0.499 0.000 K
0.254 0.765 0.519 U
0.754 0.278 0.534 Ti
0.497 0.484 0.485 S
0.504 0.986 0.486 S
0.511 0.004 0.015 S
0.985 0.496 0.984 S
0.995 0.006 0.500 S
0.996 0.484 0.488 S

8.
SrCu3Si2 (PBE, optimized geometry); energy relative to the elements, uncorrected = -0.26 eV/atom; space group = C2/m, No. 12; calculated total energy = -0.162 Ha/atom
1.0
7.648 -2.009 0.000
7.648 2.009 0.000
-2.884 0.000 6.642
Sr Cu Si
2 6 4
Direct
0.156 0.156 0.074 Sr
0.844 0.844 0.926 Sr
0.030 0.030 0.359 Cu
0.317 0.317 0.558 Cu
0.411 0.411 0.342 Cu
0.589 0.589 0.658 Cu
0.683 0.683 0.442 Cu
0.970 0.970 0.641 Cu
0.180 0.180 0.644 Si
0.480 0.480 0.821 Si
0.520 0.520 0.179 Si
0.820 0.820 0.356 Si